## Tb8Cd2Ir (GGA-PBE)

Data for a geometry-optimized Tb8Cd2Ir structure.

Lattice parameters (Å, degrees): 5.308 6.944 9.299 108.59 106.58 90.00
Positions (direct):
1 Tb 0.409 0.575 0.818
2 Tb 0.652 0.955 0.303
3 Tb 0.800 0.706 0.601
4 Tb 0.980 0.214 0.960
5 Tb 0.200 0.294 0.399
6 Tb 0.348 0.045 0.697
7 Tb 0.591 0.425 0.182
8 Tb 0.020 0.786 0.040
9 Cd 0.818 0.288 0.637
10 Cd 0.182 0.712 0.363
11 Ir 0.500 0.000 0.000

Properties
formation energy: -0.267 eV per atom
E: -50.670 eV per cell
space group: C2/m (12)